[1]
Crystalline Ca6Bi3O2 at its relaxed geometry. Source: the Alexandria database, functional GGA-PBE.

DOS(E_F): 6.9 states/eV/cell
ΔE_f (raw): -1673 kJ/mol of formula units
VASP energy: -4.63 eV per atom
Crystal system: tetragonal
Size of the total moment: 0.0 μB per cell

Cell lengths 4.7588, 4.7588, 25.9534 Å; angles 90.00, 90.00, 90.00 degrees
Space group I4/mmm (No. 139)
Asymmetric unit:
Ca 0.0000 0.0000 0.1911 (multiplicity 4)
Ca 0.0000 0.5000 0.0872 (multiplicity 8)
Bi 0.0000 0.0000 0.3196 (multiplicity 4)
Bi 0.0000 0.0000 0.5000 (multiplicity 2)
O 0.0000 0.0000 0.1027 (multiplicity 4)


[2]
Crystalline CaBi2O5 at its relaxed geometry. Source: the Alexandria database, functional GGA-PBE.

Excess energy over the best structure of this formula in the dataset: 0 meV/atom
DOS(E_F): 13.5 states/eV/cell
ΔE_f (raw): -1192 kJ/mol of formula units
VASP energy: -5.86 eV per atom
Crystal system: orthorhombic
Size of the total moment: 0.0 μB per cell

Cell lengths 5.6540, 16.5145, 10.7987 Å; angles 90.00, 90.00, 90.00 degrees
Space group Pbca (No. 61)
Asymmetric unit:
Ca 0.0349 0.0816 0.1352 (multiplicity 8)
Bi 0.0196 0.7496 0.1481 (multiplicity 8)
Bi 0.0443 0.5688 0.8782 (multiplicity 8)
O 0.1237 0.1751 0.6969 (multiplicity 8)
O 0.2059 0.0096 0.7490 (multiplicity 8)
O 0.2175 0.0325 0.4882 (multiplicity 8)
O 0.2337 0.6727 0.2741 (multiplicity 8)
O 0.2440 0.1476 0.9809 (multiplicity 8)


[3]
Crystalline Ca4Bi2O9 at its relaxed geometry. Source: the Alexandria database, functional GGA-PBE.

ΔE_f (raw): -2993 kJ/mol of formula units
VASP energy: -6.09 eV per atom
Crystal system: trigonal
Size of the total moment: 0.0 μB per cell

Cell lengths 5.8225, 5.8225, 15.3441 Å; angles 90.00, 90.00, 120.00 degrees
Space group P-3c1 (No. 165)
Asymmetric unit:
Ca 0.3333 0.6667 0.1920 (multiplicity 4)
Ca 0.3333 0.6667 0.4769 (multiplicity 4)
Bi 0.0000 0.0000 0.1454 (multiplicity 4)
O 0.0000 0.2706 0.2500 (multiplicity 6)
O 0.0386 0.3464 0.5875 (multiplicity 12)


[4]
Crystalline CaBi2O4 at its relaxed geometry. Source: the Alexandria database, functional GGA-PBE.

ΔE_f (raw): -1059 kJ/mol of formula units
VASP energy: -5.80 eV per atom
Crystal system: orthorhombic
Size of the total moment: 0.0 μB per cell

Cell lengths 6.8791, 12.0181, 6.1464 Å; angles 90.00, 90.00, 90.00 degrees
Space group Pmmn (No. 59, origin choice 2)
Asymmetric unit:
Ca 0.2500 0.2500 0.0020 (multiplicity 2)
Ca 0.2500 0.7500 0.3636 (multiplicity 2)
Bi 0.0000 0.0000 0.5000 (multiplicity 4)
Bi 0.2500 0.5378 0.0026 (multiplicity 4)
O 0.0097 0.6245 0.1780 (multiplicity 8)
O 0.2500 0.0938 0.2729 (multiplicity 4)
O 0.2500 0.6151 0.6261 (multiplicity 4)


[5]
Crystalline CaBi2O4 at its relaxed geometry. Source: the Alexandria database, functional GGA-PBE.

ΔE_f (raw): -1103 kJ/mol of formula units
VASP energy: -5.86 eV per atom
Crystal system: orthorhombic
Size of the total moment: 0.0 μB per cell

Cell lengths 3.4106, 11.4702, 11.4116 Å; angles 90.00, 90.00, 90.00 degrees
Space group Cmcm (No. 63)
Asymmetric unit:
Ca 0.0000 0.1145 0.2500 (multiplicity 4)
Bi 0.0000 0.3681 0.0772 (multiplicity 8)
O 0.0000 0.0000 0.0000 (multiplicity 4)
O 0.0000 0.2742 0.6204 (multiplicity 8)
O 0.0000 0.4739 0.2500 (multiplicity 4)


[6]
Crystalline CaBi2O5 at its relaxed geometry. Source: the Alexandria database, functional GGA-PBE.

Excess energy over the best structure of this formula in the dataset: 22 meV/atom
DOS(E_F): 12.9 states/eV/cell
ΔE_f (raw): -1175 kJ/mol of formula units
VASP energy: -5.84 eV per atom
Crystal system: orthorhombic
Size of the total moment: 0.0 μB per cell

Cell lengths 4.3327, 11.2717, 11.6036 Å; angles 90.00, 90.00, 90.00 degrees
Space group Cmcm (No. 63)
Asymmetric unit:
Ca 0.0000 0.1929 0.2500 (multiplicity 4)
Bi 0.0000 0.1358 0.5660 (multiplicity 8)
O 0.0000 0.0519 0.1071 (multiplicity 8)
O 0.0000 0.2107 0.7500 (multiplicity 4)
O 0.0000 0.3086 0.0652 (multiplicity 8)


[7]
Crystalline Ca3BiO at its relaxed geometry. Source: the Alexandria database, functional GGA-PBE.

Excess energy over the best structure of this formula in the dataset: 124 meV/atom
DOS(E_F): 6.7 states/eV/cell
ΔE_f (raw): -678 kJ/mol of formula units
VASP energy: -4.37 eV per atom
Crystal system: monoclinic
Size of the total moment: 1.6 μB per cell

Cell lengths 16.1249, 4.4228, 8.0273 Å; angles 90.00, 98.26, 90.00 degrees
Space group C2/m (No. 12)
Asymmetric unit:
Ca 0.0499 0.0000 0.3432 (multiplicity 4)
Ca 0.1370 0.0000 0.9325 (multiplicity 4)
Ca 0.1691 0.5000 0.6218 (multiplicity 4)
Bi 0.1817 0.5000 0.2234 (multiplicity 4)
O 0.0889 0.0000 0.6403 (multiplicity 4)


[8]
Crystalline CaBi2O5 at its relaxed geometry. Source: the Alexandria database, functional GGA-PBE.

Excess energy over the best structure of this formula in the dataset: 69 meV/atom
ΔE_f (raw): -1139 kJ/mol of formula units
VASP energy: -5.79 eV per atom
Crystal system: monoclinic
Size of the total moment: 0.0 μB per cell

Cell lengths 5.9452, 11.8433, 9.1414 Å; angles 90.00, 108.36, 90.00 degrees
Space group P2_1/c (No. 14)
Asymmetric unit:
Ca 0.0333 0.0961 0.1622 (multiplicity 4)
Bi 0.3847 0.6197 0.0585 (multiplicity 4)
Bi 0.4603 0.0981 0.8566 (multiplicity 4)
O 0.2081 0.5437 0.1911 (multiplicity 4)
O 0.2320 0.7224 0.4919 (multiplicity 4)
O 0.2665 0.0294 0.0108 (multiplicity 4)
O 0.3113 0.2082 0.3307 (multiplicity 4)
O 0.3554 0.5338 0.8512 (multiplicity 4)


[9]
Crystalline CaBi3O6 at its relaxed geometry. Source: the Alexandria database, functional GGA-PBE.

DOS(E_F): 19.3 states/eV/cell
ΔE_f (raw): -1441 kJ/mol of formula units
VASP energy: -5.83 eV per atom
Crystal system: trigonal
Size of the total moment: 0.0 μB per cell

Cell lengths 9.9084, 9.9084, 11.7277 Å; angles 90.00, 90.00, 120.00 degrees
Space group R-3 (No. 148, hexagonal axes)
Asymmetric unit:
Ca 0.0000 0.0000 0.0000 (multiplicity 3)
Ca 0.0000 0.0000 0.5000 (multiplicity 3)
Bi 0.0356 0.7725 0.2096 (multiplicity 18)
O 0.0023 0.7898 0.3990 (multiplicity 18)
O 0.0343 0.8463 0.8646 (multiplicity 18)


[10]
Crystalline CaBi2O4 at its relaxed geometry. Source: the Alexandria database, functional GGA-PBE.

DOS(E_F): 0.0 states/eV/cell
ΔE_f (raw): -1177 kJ/mol of formula units
VASP energy: -5.97 eV per atom
Crystal system: monoclinic
Size of the total moment: 0.0 μB per cell

Cell lengths 17.0537, 11.8048, 12.5607 Å; angles 90.00, 125.03, 90.00 degrees
Space group C2/c (No. 15)
Asymmetric unit:
Ca 0.0474 0.0984 0.4186 (multiplicity 8)
Ca 0.2044 0.2107 0.3383 (multiplicity 8)
Bi 0.0621 0.4071 0.4374 (multiplicity 8)
Bi 0.0869 0.2621 0.9957 (multiplicity 8)
Bi 0.1465 0.0977 0.7646 (multiplicity 8)
Bi 0.1901 0.4593 0.7807 (multiplicity 8)
O 0.0038 0.1097 0.9266 (multiplicity 8)
O 0.0501 0.3779 0.5979 (multiplicity 8)
O 0.0650 0.2847 0.1444 (multiplicity 8)
O 0.1007 0.0613 0.2841 (multiplicity 8)
O 0.1462 0.2691 0.4585 (multiplicity 8)
O 0.1856 0.0743 0.6321 (multiplicity 8)
O 0.1988 0.4912 0.6185 (multiplicity 8)
O 0.2301 0.1925 0.1693 (multiplicity 8)


[11]
Crystalline CaBi2O4 at its relaxed geometry. Source: the Alexandria database, functional GGA-PBE.

DOS(E_F): 0.0 states/eV/cell
ΔE_f (raw): -1140 kJ/mol of formula units
VASP energy: -5.92 eV per atom
Crystal system: monoclinic
Size of the total moment: 0.0 μB per cell

Cell lengths 12.2861, 6.9217, 17.3424 Å; angles 90.00, 90.96, 90.00 degrees
Space group Cm (No. 8)
Asymmetric unit:
Ca 0.0000 0.0000 0.0000 (multiplicity 2)
Ca 0.0041 0.0000 0.3725 (multiplicity 2)
Ca 0.1631 0.5000 0.7016 (multiplicity 2)
Ca 0.1739 0.0000 0.2087 (multiplicity 2)
Ca 0.3324 0.5000 0.5347 (multiplicity 2)
Ca 0.4952 0.0000 0.8656 (multiplicity 2)
Bi 0.0828 0.2521 0.5359 (multiplicity 4)
Bi 0.1751 0.5000 0.3253 (multiplicity 2)
Bi 0.1844 0.5000 0.0757 (multiplicity 2)
Bi 0.2454 0.2485 0.8676 (multiplicity 4)
Bi 0.3301 0.0000 0.6576 (multiplicity 2)
Bi 0.3338 0.0000 0.4157 (multiplicity 2)
Bi 0.3399 0.0000 0.0326 (multiplicity 2)
Bi 0.4282 0.2498 0.2052 (multiplicity 4)
Bi 0.4942 0.5000 0.7423 (multiplicity 2)
O 0.0031 0.0000 0.1352 (multiplicity 2)
O 0.0035 0.0000 0.6079 (multiplicity 2)
O 0.0074 0.5000 0.6206 (multiplicity 2)
O 0.0196 0.5000 0.1162 (multiplicity 2)
O 0.0818 0.2387 0.2888 (multiplicity 4)
O 0.0846 0.2540 0.7875 (multiplicity 4)
O 0.1512 0.0000 0.4610 (multiplicity 2)
O 0.1642 0.5000 0.9307 (multiplicity 2)
O 0.1694 0.5000 0.4536 (multiplicity 2)
O 0.1798 0.0000 0.9631 (multiplicity 2)
O 0.2420 0.2732 0.6160 (multiplicity 4)
O 0.2582 0.2432 0.1334 (multiplicity 4)
O 0.3145 0.5000 0.7934 (multiplicity 2)
O 0.3348 0.0000 0.2878 (multiplicity 2)
O 0.3374 0.0000 0.7868 (multiplicity 2)
O 0.3660 0.5000 0.2775 (multiplicity 2)
O 0.4058 0.2294 0.9514 (multiplicity 4)
O 0.4233 0.2669 0.4558 (multiplicity 4)